This record from Alexandria describes a relaxed NaSrNdBr6 crystal. The functional is PBE-GGA.

a = 7.6500 Å, b = 7.6500 Å, c = 13.2223 Å
α = 90.00°, β = 90.00°, γ = 120.00°
Sites, in units of the cell vectors:
Na 0.0000 0.0000 0.0000
Na 0.0000 0.0000 0.5000
Sr 0.3333 0.6667 0.2500
Sr 0.6667 0.3333 0.7500
Nd 0.3333 0.6667 0.7500
Nd 0.6667 0.3333 0.2500
Br 0.0161 0.3534 0.6264
Br 0.0161 0.6626 0.8736
Br 0.3374 0.3534 0.8736
Br 0.3374 0.9839 0.6264
Br 0.3534 0.0161 0.1264
Br 0.3534 0.3374 0.3736
Br 0.6466 0.6626 0.6264
Br 0.6466 0.9839 0.8736
Br 0.6626 0.0161 0.3736
Br 0.6626 0.6466 0.1264
Br 0.9839 0.3374 0.1264
Br 0.9839 0.6466 0.3736

Symmetry: P-31c
Fermi-level density of states in states/eV per cell: 0.0
Crystal system: trigonal
ΔE_f (raw) in eV/atom: -1.876
Energy in eV/atom: -3.854
Volume in Å³/atom: 37.23